Entry 1:
Compound: TmSi2Ru
Source: Alexandria
Functional: PBE
Structure: relaxed

Results
Energy relative to the elements, uncorrected, eV/f.u.: -3.21
Space-group type: Pnma
D(E_F), states/eV per cell: 7.40
Volume, Å³ per atom: 17.1
M_tot, μB per cell: 0.00

abc: 6.960 3.956 9.928
angles: 90.00 90.00 90.00
Element x y z (fractional)
Tm 0.151 0.250 0.127
Tm 0.349 0.750 0.627
Tm 0.651 0.250 0.373
Tm 0.849 0.750 0.873
Si 0.148 0.250 0.818
Si 0.202 0.250 0.427
Si 0.298 0.750 0.927
Si 0.352 0.750 0.318
Si 0.648 0.250 0.682
Si 0.702 0.250 0.073
Si 0.798 0.750 0.573
Si 0.852 0.750 0.182
Ru 0.014 0.750 0.388
Ru 0.486 0.250 0.888
Ru 0.514 0.750 0.112
Ru 0.986 0.250 0.612



Entry 2:
Compound: DySc4As5
Source: Alexandria
Functional: PBE
Structure: relaxed

Results
Space-group type: Immm
D(E_F), states/eV per cell: 1.83
Volume, Å³ per atom: 21.5
M_tot, μB per cell: 0.00
Formation energy from the elements, eV/atom: -1.39

abc: 10.388 10.388 10.388
angles: 158.20 148.88 38.32
Element x y z (fractional)
Dy 0.000 0.000 0.000
Sc 0.203 0.203 0.000
Sc 0.399 0.399 0.000
Sc 0.601 0.601 0.000
Sc 0.797 0.797 0.000
As 0.106 0.606 0.500
As 0.301 0.801 0.500
As 0.500 0.000 0.500
As 0.699 0.199 0.500
As 0.894 0.394 0.500



Entry 3:
Compound: FeBiAs2Se
Source: Alexandria
Functional: PBE
Structure: relaxed

Results
Energy relative to the elements, uncorrected, eV/f.u.: 8.62
Space-group type: P4/mmm
D(E_F), states/eV per cell: 8.84
Volume, Å³ per atom: 31.7
Energy above the most stable polymorph in this dataset, eV/f.u.: 7.303
M_tot, μB per cell: 0.42

abc: 5.395 5.395 5.445
angles: 90.00 90.00 90.00
Element x y z (fractional)
Fe 0.000 0.000 0.000
Bi 0.500 0.500 0.500
As 0.000 0.500 0.500
As 0.500 0.000 0.500
Se 0.500 0.500 0.000



Entry 4:
Compound: SrTl7
Source: Alexandria
Functional: PBE
Structure: relaxed

Results
Space-group type: Fm-3m
D(E_F), states/eV per cell: 7.35
Volume, Å³ per atom: 31.0
M_tot, μB per cell: 0.00
Formation energy from the elements, eV/atom: -0.11

abc: 7.054 7.054 7.054
angles: 60.00 60.00 60.00
Element x y z (fractional)
Sr 0.000 0.000 0.000
Tl 0.000 0.000 0.500
Tl 0.000 0.500 0.000
Tl 0.000 0.500 0.500
Tl 0.500 0.000 0.000
Tl 0.500 0.000 0.500
Tl 0.500 0.500 0.000
Tl 0.500 0.500 0.500



Entry 5:
Compound: Y2CuGe6
Source: Alexandria
Functional: PBE
Structure: relaxed

Results
Space-group type: Amm2
D(E_F), states/eV per cell: 1.57
Volume, Å³ per atom: 19.8
M_tot, μB per cell: 0.00
Formation energy from the elements, eV/atom: -0.43

abc: 4.102 10.903 10.903
angles: 21.49 90.00 90.00
Element x y z (fractional)
Y 0.000 0.000 0.000
Y 0.000 0.337 0.337
Cu 0.500 0.556 0.556
Ge 0.000 0.617 0.617
Ge 0.000 0.734 0.734
Ge 0.500 0.117 0.117
Ge 0.500 0.234 0.234
Ge 0.500 0.448 0.448
Ge 0.500 0.875 0.875



Entry 6:
Compound: AlFe2Pb
Source: Alexandria
Functional: PBE
Structure: relaxed

Results
Space-group type: Pm
D(E_F), states/eV per cell: 3.24
Volume, Å³ per atom: 16.5
Energy above the most stable polymorph in this dataset, eV/f.u.: 0.263
M_tot, μB per cell: 3.86
Formation energy from the elements, eV/atom: 0.29

abc: 3.233 3.972 5.387
angles: 90.00 107.27 90.00
Element x y z (fractional)
Al 0.000 0.000 0.000
Fe 0.565 0.500 0.131
Fe 0.690 0.000 0.383
Pb 0.299 0.500 0.601



Entry 7:
Compound: SrScV2Au
Source: Alexandria
Functional: PBE
Structure: relaxed

Results
Space-group type: P4/mmm
D(E_F), states/eV per cell: 5.61
Volume, Å³ per atom: 21.7
M_tot, μB per cell: 3.93
Formation energy from the elements, eV/atom: 1.95

abc: 4.660 4.660 4.988
angles: 90.00 90.00 90.00
Element x y z (fractional)
Sr 0.000 0.000 0.000
Sc 0.000 0.000 0.500
V 0.000 0.500 0.000
V 0.500 0.000 0.000
Au 0.500 0.500 0.500



Entry 8:
Compound: Rb2AlCrCl6
Source: Alexandria
Functional: PBE
Structure: relaxed

Results
Energy relative to the elements, uncorrected, eV/f.u.: -14.21
Space-group type: I4/mmm
D(E_F), states/eV per cell: 1.07
Volume, Å³ per atom: 25.7
M_tot, μB per cell: 5.00

abc: 7.135 7.135 7.135
angles: 119.93 119.93 90.12
Element x y z (fractional)
Rb 0.250 0.750 0.500
Rb 0.750 0.250 0.500
Al 0.000 0.000 0.000
Cr 0.500 0.500 0.000
Cl 0.237 0.237 0.475
Cl 0.237 0.763 0.000
Cl 0.238 0.238 0.000
Cl 0.762 0.762 0.000
Cl 0.763 0.237 0.000
Cl 0.763 0.763 0.525



Entry 9:
Compound: Pu4Au
Source: Alexandria
Functional: PBE
Structure: relaxed

Results
Space-group type: Pm-3m
D(E_F), states/eV per cell: 38.19
Volume, Å³ per atom: 35.7
M_tot, μB per cell: 24.70
Formation energy from the elements, eV/atom: 0.55

abc: 5.629 5.629 5.629
angles: 90.00 90.00 90.00
Element x y z (fractional)
Pu 0.000 0.000 0.000
Pu 0.000 0.500 0.500
Pu 0.500 0.000 0.500
Pu 0.500 0.500 0.000
Au 0.500 0.500 0.500



Entry 10:
Compound: AcTm6Pb4
Source: Alexandria
Functional: PBE
Structure: relaxed

Results
Space-group type: P-6m2
D(E_F), states/eV per cell: 8.76
Volume, Å³ per atom: 31.0
M_tot, μB per cell: 3.30
Formation energy from the elements, eV/atom: -0.36

abc: 9.497 9.497 4.361
angles: 90.00 90.00 120.00
Element x y z (fractional)
Ac 0.000 0.000 0.000
Tm 0.200 0.400 0.500
Tm 0.200 0.800 0.500
Tm 0.540 0.080 0.000
Tm 0.540 0.460 0.000
Tm 0.600 0.800 0.500
Tm 0.920 0.460 0.000
Pb 0.333 0.667 0.000
Pb 0.346 0.173 0.500
Pb 0.827 0.173 0.500
Pb 0.827 0.654 0.500



Entry 11:
Compound: NbHg2Br
Source: Alexandria
Functional: PBE
Structure: relaxed

Results
Energy relative to the elements, uncorrected, eV/f.u.: 1.58
Space-group type: I-42d
D(E_F), states/eV per cell: 15.52
Volume, Å³ per atom: 28.5
Energy above the most stable polymorph in this dataset, eV/f.u.: 0.000
M_tot, μB per cell: 0.00

abc: 9.507 9.507 5.049
angles: 90.00 90.00 90.00
Element x y z (fractional)
Nb 0.000 0.000 0.000
Nb 0.000 0.500 0.250
Nb 0.500 0.000 0.750
Nb 0.500 0.500 0.500
Hg 0.153 0.250 0.125
Hg 0.250 0.653 0.375
Hg 0.250 0.847 0.875
Hg 0.347 0.250 0.625
Hg 0.653 0.750 0.625
Hg 0.750 0.153 0.875
Hg 0.750 0.347 0.375
Hg 0.847 0.750 0.125
Br 0.000 0.000 0.500
Br 0.000 0.500 0.750
Br 0.500 0.000 0.250
Br 0.500 0.500 0.000



Entry 12:
Compound: K3Ag
Source: Alexandria
Functional: PBE
Structure: relaxed

Results
Space-group type: Pnma
D(E_F), states/eV per cell: 8.05
Volume, Å³ per atom: 50.0
Energy above the most stable polymorph in this dataset, eV/f.u.: 0.000
M_tot, μB per cell: 0.00
Formation energy from the elements, eV/atom: 0.03

abc: 9.460 11.079 7.630
angles: 90.00 90.00 90.00
Element x y z (fractional)
K 0.032 0.250 0.122
K 0.171 0.061 0.652
K 0.171 0.439 0.652
K 0.329 0.561 0.152
K 0.329 0.939 0.152
K 0.468 0.750 0.622
K 0.532 0.250 0.378
K 0.671 0.061 0.848
K 0.671 0.439 0.848
K 0.829 0.561 0.348
K 0.829 0.939 0.348
K 0.968 0.750 0.878
Ag 0.123 0.750 0.445
Ag 0.377 0.250 0.945
Ag 0.623 0.750 0.055
Ag 0.877 0.250 0.555



Entry 13:
Compound: NpInPb2O6
Source: Alexandria
Functional: PBE
Structure: relaxed

Results
Energy relative to the elements, uncorrected, eV/f.u.: -18.45
Space-group type: P2_1/c
D(E_F), states/eV per cell: 14.77
Volume, Å³ per atom: 15.3
M_tot, μB per cell: 4.00

abc: 5.923 6.028 10.393
angles: 90.00 124.67 90.00
Element x y z (fractional)
Np 0.000 0.000 0.000
Np 0.000 0.500 0.500
In 0.500 0.000 0.500
In 0.500 0.500 0.000
Pb 0.256 0.035 0.754
Pb 0.256 0.465 0.254
Pb 0.744 0.535 0.746
Pb 0.744 0.965 0.246
O 0.154 0.211 0.459
O 0.154 0.289 0.959
O 0.262 0.696 0.464
O 0.262 0.804 0.964
O 0.334 0.027 0.250
O 0.334 0.473 0.750
O 0.666 0.527 0.250
O 0.666 0.973 0.750
O 0.738 0.196 0.036
O 0.738 0.304 0.536
O 0.846 0.711 0.041
O 0.846 0.789 0.541



Entry 14:
Compound: NiHg2BiPd
Source: Alexandria
Functional: PBE
Structure: relaxed

Results
Space-group type: P4/mmm
D(E_F), states/eV per cell: 5.09
Volume, Å³ per atom: 28.1
M_tot, μB per cell: 0.00
Formation energy from the elements, eV/atom: 0.68

abc: 5.165 5.165 5.266
angles: 90.00 90.00 90.00
Element x y z (fractional)
Ni 0.000 0.000 0.000
Hg 0.000 0.500 0.500
Hg 0.500 0.000 0.500
Bi 0.500 0.500 0.000
Pd 0.500 0.500 0.500



Entry 15:
Compound: ScZn2Ir
Source: Alexandria
Functional: PBE
Structure: relaxed

Results
Space-group type: R-3m
D(E_F), states/eV per cell: 12.99
Volume, Å³ per atom: 16.6
M_tot, μB per cell: 1.69
Formation energy from the elements, eV/atom: -0.05

abc: 2.941 2.941 26.625
angles: 90.00 90.00 120.00
Element x y z (fractional)
Sc 0.000 0.000 0.000
Sc 0.333 0.667 0.667
Sc 0.667 0.333 0.333
Zn 0.000 0.000 0.243
Zn 0.000 0.000 0.757
Zn 0.333 0.667 0.424
Zn 0.333 0.667 0.909
Zn 0.667 0.333 0.091
Zn 0.667 0.333 0.576
Ir 0.000 0.000 0.500
Ir 0.333 0.667 0.167
Ir 0.667 0.333 0.833



Entry 16:
Compound: Sm3Zn2Au
Source: Alexandria
Functional: PBE
Structure: relaxed

Results
Space-group type: P-3m1
D(E_F), states/eV per cell: 5.11
Volume, Å³ per atom: 24.4
Energy above the most stable polymorph in this dataset, eV/f.u.: 0.070
M_tot, μB per cell: 0.00
Formation energy from the elements, eV/atom: -0.47

abc: 5.173 5.173 6.327
angles: 90.00 90.00 120.00
Element x y z (fractional)
Sm 0.000 0.000 0.000
Sm 0.333 0.667 0.663
Sm 0.667 0.333 0.337
Zn 0.333 0.667 0.150
Zn 0.667 0.333 0.850
Au 0.000 0.000 0.500



no.,total energy (eV per atom)
1,-6.95
2,-6.71
3,-3.30
4,-2.39
5,-5.40
6,-5.81
7,-3.96
8,-4.06
9,-11.57
10,-4.52
11,-2.69
12,-1.51
13,-7.13
14,-2.41
15,-4.48
16,-3.80